## LiGdFeTe3 (PBE-GGA)

Data for LiGdFeTe3 after structural relaxation.

Unit cell a=4.182 b=14.162 c=11.416 alpha=90.00 beta=90.00 gamma=90.00
Space group Cmcm (No. 63)
Inequivalent atoms, fractional coordinates:
1 Li 0.000 0.202 0.250
2 Gd 0.000 0.000 0.000
3 Fe 0.000 0.474 0.750
4 Te 0.000 0.089 0.750
5 Te 0.000 0.353 0.576

Values from the calculation:
Polymorph energy (0 for the lowest one) = 0.036 eV/atom



## LiGdFeTe3 (PBE-GGA)

Data for LiGdFeTe3 after structural relaxation.

Unit cell a=8.500 b=4.141 c=9.874 alpha=90.00 beta=101.76 gamma=90.00
Space group P2_1/m (No. 11)
Inequivalent atoms, fractional coordinates:
1 Li 0.182 0.250 0.234
2 Gd 0.333 0.750 0.841
3 Fe 0.066 0.250 0.575
4 Te 0.067 0.250 0.843
5 Te 0.245 0.750 0.517
6 Te 0.403 0.750 0.163

Values from the calculation:
Polymorph energy (0 for the lowest one) = 0.000 eV/atom



## GdLuFe (PBE-GGA)

Data for GdLuFe after structural relaxation.

Unit cell a=6.570 b=6.570 c=6.570 alpha=90.00 beta=90.00 gamma=90.00
Space group F-43m (No. 216)
Inequivalent atoms, fractional coordinates:
1 Gd 0.000 0.000 0.000
2 Lu 0.000 0.000 0.500
3 Fe 0.250 0.250 0.250

Values from the calculation:
Polymorph energy (0 for the lowest one) = 0.000 eV/atom
ΔH_f (0 K) = 193.3 meV/atom



## GdMgFe (PBE-GGA)

Data for GdMgFe after structural relaxation.

Unit cell a=6.523 b=6.523 c=6.523 alpha=90.00 beta=90.00 gamma=90.00
Space group F-43m (No. 216)
Inequivalent atoms, fractional coordinates:
1 Gd 0.000 0.000 0.000
2 Mg 0.000 0.000 0.500
3 Fe 0.250 0.250 0.250



## GdYMg3Fe2 (PBE-GGA)

Data for GdYMg3Fe2 after structural relaxation.

Unit cell a=3.711 b=3.945 c=21.129 alpha=90.00 beta=90.00 gamma=90.00
Space group Amm2 (No. 38)
Inequivalent atoms, fractional coordinates:
1 Gd 0.000 0.000 0.000
2 Y 0.000 0.000 0.654
3 Mg 0.000 0.000 0.827
4 Mg 0.500 0.000 0.248
5 Mg 0.500 0.000 0.405
6 Fe 0.500 0.000 0.108
7 Fe 0.500 0.000 0.546



## Gd2Fe17N3 (PBE-GGA)

Data for Gd2Fe17N3 after structural relaxation.

Unit cell a=8.6311 b=8.6311 c=12.5327 alpha=90.00 beta=90.00 gamma=120.00
Space group R-3m (No. 166, hexagonal axes)
Inequivalent atoms, fractional coordinates:
1 Gd 0.0000 0.0000 0.1571
2 Fe 0.0000 0.0000 0.4055
3 Fe 0.0000 0.2822 0.5000
4 Fe 0.0000 0.5000 0.0000
5 Fe 0.0100 0.5050 0.3470
6 N 0.0000 0.5000 0.5000



| no. | magnetization (μB/atom) | raw total energy (eV per atom) |
| --- | --- | --- |
| 1 | 0.6362 | -4.798 |
| 2 | 0.6016 | -4.833 |
| 3 | 0.0270 | -5.636 |
| 4 | 0.4755 | -4.430 |
| 5 | 0.3924 | -4.641 |
| 6 | 1.7189 | -8.207 |